# K4NdTm3Se8 PBE-GGA optimized geometry
# Total energy in eV per atom: -4.90
data_K4NdTm3Se8
_space_group_name_H-M_alt 'R -3 m'
_space_group_IT_number 166
_space_group_name_Hall '-R 3 2"'
_cell_length_a 8.4231
_cell_length_b 8.4231
_cell_length_c 23.0509
_cell_angle_alpha 90.00
_cell_angle_beta 90.00
_cell_angle_gamma 120.00
loop_
_atom_site_label
_atom_site_type_symbol
_atom_site_fract_x
_atom_site_fract_y
_atom_site_fract_z
K1 K 0.0000 0.0000 0.0000
K2 K 0.0000 0.5000 0.0000
Nd1 Nd 0.0000 0.0000 0.5000
Tm1 Tm 0.0000 0.5000 0.5000
Se1 Se 0.0000 0.0000 0.2338
Se2 Se 0.0098 0.5049 0.7648